# 1
The following is a PBE calculation of crystalline Na4In3Pb2 at its relaxed geometry, from Alexandria via LeMat-Bulk.

Cell lengths 5.893, 5.893, 10.254 Å; angles 108.10, 108.10, 48.07 degrees
Positions (direct):
Na (0.001, 0.001, 0.332)
Na (0.333, 0.333, 0.115)
Na (0.667, 0.667, 0.885)
Na (0.999, 0.999, 0.668)
In (0.000, 0.000, 0.000)
In (0.335, 0.335, 0.454)
In (0.665, 0.665, 0.546)
Pb (0.333, 0.333, 0.777)
Pb (0.667, 0.667, 0.223)

Results
E	-21.9	eV per cell
DOS(E_F)	4.9	states/eV/f.u.
space-group type	C2/m

---

# 2
The following is a PBE calculation of crystalline Na4In2Pb3 at its relaxed geometry, from Alexandria via LeMat-Bulk.

Cell lengths 9.503, 9.503, 6.586 Å; angles 94.14, 94.14, 61.86 degrees
Positions (direct):
Na (0.163, 0.812, 0.999)
Na (0.188, 0.837, 0.501)
Na (0.202, 0.444, 0.118)
Na (0.444, 0.202, 0.618)
Na (0.556, 0.798, 0.382)
Na (0.798, 0.556, 0.882)
Na (0.812, 0.163, 0.499)
Na (0.837, 0.188, 0.001)
In (0.113, 0.553, 0.637)
In (0.447, 0.887, 0.863)
In (0.553, 0.113, 0.137)
In (0.887, 0.447, 0.363)
Pb (0.113, 0.212, 0.741)
Pb (0.212, 0.113, 0.241)
Pb (0.471, 0.529, 0.750)
Pb (0.529, 0.471, 0.250)
Pb (0.788, 0.887, 0.759)
Pb (0.887, 0.788, 0.259)

Results
E	-45.7	eV per cell
DOS(E_F)	4.4	states/eV/f.u.
space-group type	C2/c

---

Please write out number 1 again, unchanged.
The following is a PBE calculation of crystalline Na4In3Pb2 at its relaxed geometry, from Alexandria via LeMat-Bulk.

Cell lengths 5.893, 5.893, 10.254 Å; angles 108.10, 108.10, 48.07 degrees
Positions (direct):
Na (0.001, 0.001, 0.332)
Na (0.333, 0.333, 0.115)
Na (0.667, 0.667, 0.885)
Na (0.999, 0.999, 0.668)
In (0.000, 0.000, 0.000)
In (0.335, 0.335, 0.454)
In (0.665, 0.665, 0.546)
Pb (0.333, 0.333, 0.777)
Pb (0.667, 0.667, 0.223)

Results
E	-21.9	eV per cell
DOS(E_F)	4.9	states/eV/f.u.
space-group type	C2/m

---

Q: Among the records above, which one has the highest DOS(E_F)?
A: Na4In3Pb2